[1]
# Zr2CdS (PBE, optimized geometry)
data_Zr2CdS
_chemical_formula_sum 'Zr2 Cd1 S1'
_cell_length_a 4.811
_cell_length_b 4.811
_cell_length_c 4.811
_cell_angle_alpha 60.00
_cell_angle_beta 60.00
_cell_angle_gamma 60.00
_space_group_name_H-M_alt 'P 1'
_space_group_IT_number 1
loop_
_space_group_symop_operation_xyz
'x,y,z'
loop_
_atom_site_label
_atom_site_type_symbol
_atom_site_fract_x
_atom_site_fract_y
_atom_site_fract_z
_atom_site_occupancy
Zr1 Zr 0.750 0.750 0.750 1
Zr2 Zr 0.250 0.250 0.250 1
Cd1 Cd 0.500 0.500 0.500 1
S1 S 0.000 0.000 0.000 1
# - ΔE_f (raw) (eV/atom) = -0.2586

[2]
# Zr2CdS (PBE, optimized geometry)
data_Zr2CdS
_chemical_formula_sum 'Zr2 Cd1 S1'
_cell_length_a 3.602
_cell_length_b 3.602
_cell_length_c 7.765
_cell_angle_alpha 76.59
_cell_angle_beta 76.59
_cell_angle_gamma 60.00
_space_group_name_H-M_alt 'P 1'
_space_group_IT_number 1
loop_
_space_group_symop_operation_xyz
'x,y,z'
loop_
_atom_site_label
_atom_site_type_symbol
_atom_site_fract_x
_atom_site_fract_y
_atom_site_fract_z
_atom_site_occupancy
S1 S 0.000 0.000 0.000 1
Cd1 Cd 0.500 0.500 0.500 1
Zr1 Zr 0.270 0.270 0.190 1
Zr2 Zr 0.730 0.730 0.810 1
# - ΔE_f (raw) (eV/atom) = -0.7839

[3]
# Cd3Sb (PBE, optimized geometry)
data_Cd3Sb
_chemical_formula_sum 'Cd3 Sb1'
_cell_length_a 5.271
_cell_length_b 5.271
_cell_length_c 5.945
_cell_angle_alpha 81.04
_cell_angle_beta 81.04
_cell_angle_gamma 37.13
_space_group_name_H-M_alt 'P 1'
_space_group_IT_number 1
loop_
_space_group_symop_operation_xyz
'x,y,z'
loop_
_atom_site_label
_atom_site_type_symbol
_atom_site_fract_x
_atom_site_fract_y
_atom_site_fract_z
_atom_site_occupancy
Cd1 Cd 0.754 0.754 0.728 1
Cd2 Cd 0.246 0.246 0.272 1
Cd3 Cd 0.500 0.500 0.500 1
Sb1 Sb 0.000 0.000 0.000 1
# - ΔE_f (raw) (eV/atom) = 0.0654

[4]
# CdSb (PBE, optimized geometry)
data_CdSb
_chemical_formula_sum 'Cd8 Sb8'
_cell_length_a 13.312
_cell_length_b 13.312
_cell_length_c 3.212
_cell_angle_alpha 90.00
_cell_angle_beta 90.00
_cell_angle_gamma 90.00
_space_group_name_H-M_alt 'P 1'
_space_group_IT_number 1
loop_
_space_group_symop_operation_xyz
'x,y,z'
loop_
_atom_site_label
_atom_site_type_symbol
_atom_site_fract_x
_atom_site_fract_y
_atom_site_fract_z
_atom_site_occupancy
Sb1 Sb 0.606 0.746 0.000 1
Sb2 Sb 0.754 0.106 0.500 1
Cd1 Cd 0.396 0.777 0.000 1
Cd2 Cd 0.104 0.723 0.500 1
Sb3 Sb 0.246 0.894 0.500 1
Cd3 Cd 0.223 0.396 0.000 1
Cd4 Cd 0.604 0.223 0.000 1
Sb4 Sb 0.746 0.394 0.000 1
Sb5 Sb 0.106 0.246 0.500 1
Cd5 Cd 0.723 0.896 0.500 1
Cd6 Cd 0.896 0.277 0.500 1
Cd7 Cd 0.277 0.104 0.500 1
Sb6 Sb 0.394 0.254 0.000 1
Cd8 Cd 0.777 0.604 0.000 1
Sb7 Sb 0.254 0.606 0.000 1
Sb8 Sb 0.894 0.754 0.500 1
# - ΔE_f (raw) (eV/atom) = 0.0713

[5]
# CdSb3 (PBE, optimized geometry)
data_CdSb3
_chemical_formula_sum 'Cd2 Sb6'
_cell_length_a 5.549
_cell_length_b 6.054
_cell_length_c 6.663
_cell_angle_alpha 90.00
_cell_angle_beta 90.00
_cell_angle_gamma 90.00
_space_group_name_H-M_alt 'P 1'
_space_group_IT_number 1
loop_
_space_group_symop_operation_xyz
'x,y,z'
loop_
_atom_site_label
_atom_site_type_symbol
_atom_site_fract_x
_atom_site_fract_y
_atom_site_fract_z
_atom_site_occupancy
Sb1 Sb 0.000 0.500 0.245 1
Cd1 Cd 0.499 0.000 0.000 1
Sb2 Sb 0.000 0.000 0.745 1
Sb3 Sb 0.000 0.000 0.255 1
Cd2 Cd 0.501 0.500 0.500 1
Sb4 Sb 0.000 0.500 0.755 1
Sb5 Sb 0.502 0.500 0.000 1
Sb6 Sb 0.498 0.000 0.500 1
# - ΔE_f (raw) (eV/atom) = 0.0892

[6]
# CdSb (PBE, optimized geometry)
data_CdSb
_chemical_formula_sum 'Cd16 Sb16'
_cell_length_a 6.825
_cell_length_b 16.257
_cell_length_c 10.570
_cell_angle_alpha 90.00
_cell_angle_beta 90.00
_cell_angle_gamma 90.00
_space_group_name_H-M_alt 'P 1'
_space_group_IT_number 1
loop_
_space_group_symop_operation_xyz
'x,y,z'
loop_
_atom_site_label
_atom_site_type_symbol
_atom_site_fract_x
_atom_site_fract_y
_atom_site_fract_z
_atom_site_occupancy
Sb1 Sb 0.000 0.119 0.000 1
Cd1 Cd 0.000 0.500 0.203 1
Sb2 Sb 0.500 0.119 0.500 1
Cd2 Cd 0.750 0.750 0.453 1
Cd3 Cd 0.750 0.250 0.547 1
Cd4 Cd 0.500 0.000 0.797 1
Cd5 Cd 0.750 0.750 0.047 1
Sb3 Sb 0.250 0.631 0.250 1
Sb4 Sb 0.250 0.869 0.250 1
Cd6 Cd 0.750 0.250 0.953 1
Sb5 Sb 0.750 0.369 0.250 1
Sb6 Sb 0.500 0.381 0.000 1
Sb7 Sb 0.750 0.869 0.750 1
Cd7 Cd 0.250 0.750 0.547 1
Cd8 Cd 0.500 0.000 0.203 1
Sb8 Sb 0.500 0.619 0.000 1
Cd9 Cd 0.500 0.500 0.297 1
Cd10 Cd 0.250 0.250 0.047 1
Sb9 Sb 0.250 0.369 0.750 1
Sb10 Sb 0.250 0.131 0.750 1
Sb11 Sb 0.000 0.881 0.000 1
Sb12 Sb 0.750 0.131 0.250 1
Cd11 Cd 0.000 0.000 0.703 1
Sb13 Sb 0.500 0.881 0.500 1
Sb14 Sb 0.000 0.619 0.500 1
Sb15 Sb 0.750 0.631 0.750 1
Cd12 Cd 0.500 0.500 0.703 1
Sb16 Sb 0.000 0.381 0.500 1
Cd13 Cd 0.250 0.750 0.953 1
Cd14 Cd 0.000 0.000 0.297 1
Cd15 Cd 0.000 0.500 0.797 1
Cd16 Cd 0.250 0.250 0.453 1
# - ΔE_f (raw) (eV/atom) = 0.1605

[7]
# CdSb4 (PBE, optimized geometry)
data_CdSb4
_chemical_formula_sum 'Cd1 Sb4'
_cell_length_a 5.823
_cell_length_b 5.823
_cell_length_c 5.823
_cell_angle_alpha 102.62
_cell_angle_beta 102.62
_cell_angle_gamma 124.27
_space_group_name_H-M_alt 'P 1'
_space_group_IT_number 1
loop_
_space_group_symop_operation_xyz
'x,y,z'
loop_
_atom_site_label
_atom_site_type_symbol
_atom_site_fract_x
_atom_site_fract_y
_atom_site_fract_z
_atom_site_occupancy
Sb1 Sb 0.639 0.769 0.408 1
Sb2 Sb 0.361 0.231 0.592 1
Cd1 Cd 0.000 0.000 0.000 1
Sb3 Sb 0.231 0.639 0.870 1
Sb4 Sb 0.769 0.361 0.130 1
# - ΔE_f (raw) (eV/atom) = 0.2186

[8]
# CdSb4 (PBE, optimized geometry)
data_CdSb4
_chemical_formula_sum 'Cd1 Sb4'
_cell_length_a 6.116
_cell_length_b 6.116
_cell_length_c 6.116
_cell_angle_alpha 121.01
_cell_angle_beta 121.01
_cell_angle_gamma 88.26
_space_group_name_H-M_alt 'P 1'
_space_group_IT_number 1
loop_
_space_group_symop_operation_xyz
'x,y,z'
loop_
_atom_site_label
_atom_site_type_symbol
_atom_site_fract_x
_atom_site_fract_y
_atom_site_fract_z
_atom_site_occupancy
Cd1 Cd 0.000 0.000 0.000 1
Sb1 Sb 0.675 0.675 0.000 1
Sb2 Sb 0.325 0.325 0.000 1
Sb3 Sb 0.250 0.750 0.500 1
Sb4 Sb 0.750 0.250 0.500 1
# - ΔE_f (raw) (eV/atom) = 0.2126

[9]
# CdSb (PBE, optimized geometry)
data_CdSb
_chemical_formula_sum 'Cd2 Sb2'
_cell_length_a 4.542
_cell_length_b 4.542
_cell_length_c 6.250
_cell_angle_alpha 90.00
_cell_angle_beta 90.00
_cell_angle_gamma 120.00
_space_group_name_H-M_alt 'P 1'
_space_group_IT_number 1
loop_
_space_group_symop_operation_xyz
'x,y,z'
loop_
_atom_site_label
_atom_site_type_symbol
_atom_site_fract_x
_atom_site_fract_y
_atom_site_fract_z
_atom_site_occupancy
Sb1 Sb 0.333 0.667 0.250 1
Sb2 Sb 0.667 0.333 0.750 1
Cd1 Cd 0.000 0.000 0.500 1
Cd2 Cd 0.000 0.000 0.000 1
# - ΔE_f (raw) (eV/atom) = 0.1136

[10]
# CdSb (PBE, optimized geometry)
data_CdSb
_chemical_formula_sum 'Cd2 Sb2'
_cell_length_a 5.257
_cell_length_b 5.257
_cell_length_c 5.257
_cell_angle_alpha 64.47
_cell_angle_beta 64.47
_cell_angle_gamma 64.47
_space_group_name_H-M_alt 'P 1'
_space_group_IT_number 1
loop_
_space_group_symop_operation_xyz
'x,y,z'
loop_
_atom_site_label
_atom_site_type_symbol
_atom_site_fract_x
_atom_site_fract_y
_atom_site_fract_z
_atom_site_occupancy
Sb1 Sb 0.661 0.661 0.661 1
Cd1 Cd 0.888 0.888 0.888 1
Cd2 Cd 0.112 0.112 0.112 1
Sb2 Sb 0.339 0.339 0.339 1
# - ΔE_f (raw) (eV/atom) = 0.1276

[11]
# Cd3Sb (PBE, optimized geometry)
data_Cd3Sb
_chemical_formula_sum 'Cd6 Sb2'
_cell_length_a 5.877
_cell_length_b 5.877
_cell_length_c 5.877
_cell_angle_alpha 90.00
_cell_angle_beta 90.00
_cell_angle_gamma 90.00
_space_group_name_H-M_alt 'P 1'
_space_group_IT_number 1
loop_
_space_group_symop_operation_xyz
'x,y,z'
loop_
_atom_site_label
_atom_site_type_symbol
_atom_site_fract_x
_atom_site_fract_y
_atom_site_fract_z
_atom_site_occupancy
Cd1 Cd 0.750 0.500 0.000 1
Cd2 Cd 0.000 0.250 0.500 1
Sb1 Sb 0.500 0.500 0.500 1
Cd3 Cd 0.500 0.000 0.750 1
Sb2 Sb 0.000 0.000 0.000 1
Cd4 Cd 0.500 0.000 0.250 1
Cd5 Cd 0.000 0.750 0.500 1
Cd6 Cd 0.250 0.500 0.000 1
# - ΔE_f (raw) (eV/atom) = 0.0735

[12]
# CdSb3 (PBE, optimized geometry)
data_CdSb3
_chemical_formula_sum 'Cd4 Sb12'
_cell_length_a 6.697
_cell_length_b 6.697
_cell_length_c 11.113
_cell_angle_alpha 90.00
_cell_angle_beta 90.00
_cell_angle_gamma 120.00
_space_group_name_H-M_alt 'P 1'
_space_group_IT_number 1
loop_
_space_group_symop_operation_xyz
'x,y,z'
loop_
_atom_site_label
_atom_site_type_symbol
_atom_site_fract_x
_atom_site_fract_y
_atom_site_fract_z
_atom_site_occupancy
Sb1 Sb 0.500 0.000 0.500 1
Sb2 Sb 0.317 0.158 0.250 1
Cd1 Cd 0.667 0.333 0.750 1
Sb3 Sb 0.000 0.500 0.000 1
Sb4 Sb 0.500 0.500 0.500 1
Sb5 Sb 0.000 0.500 0.500 1
Cd2 Cd 0.333 0.667 0.250 1
Sb6 Sb 0.500 0.500 0.000 1
Sb7 Sb 0.500 0.000 0.000 1
Sb8 Sb 0.842 0.158 0.250 1
Cd3 Cd 0.000 0.000 0.500 1
Cd4 Cd 0.000 0.000 0.000 1
Sb9 Sb 0.842 0.683 0.250 1
Sb10 Sb 0.158 0.842 0.750 1
Sb11 Sb 0.158 0.317 0.750 1
Sb12 Sb 0.683 0.842 0.750 1
# - ΔE_f (raw) (eV/atom) = 0.2220

[13]
# CdSb (PBE, optimized geometry)
data_CdSb
_chemical_formula_sum 'Cd2 Sb2'
_cell_length_a 4.245
_cell_length_b 4.245
_cell_length_c 6.224
_cell_angle_alpha 90.00
_cell_angle_beta 90.00
_cell_angle_gamma 90.00
_space_group_name_H-M_alt 'P 1'
_space_group_IT_number 1
loop_
_space_group_symop_operation_xyz
'x,y,z'
loop_
_atom_site_label
_atom_site_type_symbol
_atom_site_fract_x
_atom_site_fract_y
_atom_site_fract_z
_atom_site_occupancy
Cd1 Cd 0.500 0.500 0.178 1
Sb1 Sb 0.000 0.000 0.575 1
Cd2 Cd 0.000 0.000 0.072 1
Sb2 Sb 0.500 0.500 0.675 1
# - ΔE_f (raw) (eV/atom) = 0.1204

[14]
# Cd3Sb (PBE, optimized geometry)
data_Cd3Sb
_chemical_formula_sum 'Cd3 Sb1'
_cell_length_a 3.237
_cell_length_b 3.237
_cell_length_c 10.775
_cell_angle_alpha 90.00
_cell_angle_beta 90.00
_cell_angle_gamma 120.00
_space_group_name_H-M_alt 'P 1'
_space_group_IT_number 1
loop_
_space_group_symop_operation_xyz
'x,y,z'
loop_
_atom_site_label
_atom_site_type_symbol
_atom_site_fract_x
_atom_site_fract_y
_atom_site_fract_z
_atom_site_occupancy
Cd1 Cd 0.000 0.000 0.491 1
Cd2 Cd 0.000 0.000 0.009 1
Sb1 Sb 0.667 0.333 0.750 1
Cd3 Cd 0.667 0.333 0.250 1
# - ΔE_f (raw) (eV/atom) = 0.0905

[15]
# Cd3Sb (PBE, optimized geometry)
data_Cd3Sb
_chemical_formula_sum 'Cd3 Sb1'
_cell_length_a 3.221
_cell_length_b 3.221
_cell_length_c 9.413
_cell_angle_alpha 90.00
_cell_angle_beta 90.00
_cell_angle_gamma 90.12
_space_group_name_H-M_alt 'P 1'
_space_group_IT_number 1
loop_
_space_group_symop_operation_xyz
'x,y,z'
loop_
_atom_site_label
_atom_site_type_symbol
_atom_site_fract_x
_atom_site_fract_y
_atom_site_fract_z
_atom_site_occupancy
Cd1 Cd 0.000 0.000 0.983 1
Cd2 Cd 0.500 0.500 0.750 1
Cd3 Cd 0.000 0.000 0.517 1
Sb1 Sb 0.500 0.500 0.250 1
# - ΔE_f (raw) (eV/atom) = 0.0881

[16]
# Cd3Sb (PBE, optimized geometry)
data_Cd3Sb
_chemical_formula_sum 'Cd3 Sb1'
_cell_length_a 9.723
_cell_length_b 9.723
_cell_length_c 9.723
_cell_angle_alpha 20.53
_cell_angle_beta 20.53
_cell_angle_gamma 20.53
_space_group_name_H-M_alt 'P 1'
_space_group_IT_number 1
loop_
_space_group_symop_operation_xyz
'x,y,z'
loop_
_atom_site_label
_atom_site_type_symbol
_atom_site_fract_x
_atom_site_fract_y
_atom_site_fract_z
_atom_site_occupancy
Cd1 Cd 0.246 0.246 0.246 1
Sb1 Sb 0.000 0.000 0.000 1
Cd2 Cd 0.500 0.500 0.500 1
Cd3 Cd 0.754 0.754 0.754 1
# - ΔE_f (raw) (eV/atom) = 0.0598

[17]
# CdSb (PBE, optimized geometry)
data_CdSb
_chemical_formula_sum 'Cd8 Sb8'
_cell_length_a 6.581
_cell_length_b 8.417
_cell_length_c 8.715
_cell_angle_alpha 90.00
_cell_angle_beta 90.00
_cell_angle_gamma 90.00
_space_group_name_H-M_alt 'P 1'
_space_group_IT_number 1
loop_
_space_group_symop_operation_xyz
'x,y,z'
loop_
_atom_site_label
_atom_site_type_symbol
_atom_site_fract_x
_atom_site_fract_y
_atom_site_fract_z
_atom_site_occupancy
Cd1 Cd 0.453 0.378 0.367 1
Cd2 Cd 0.953 0.122 0.633 1
Cd3 Cd 0.547 0.622 0.633 1
Sb1 Sb 0.361 0.573 0.104 1
Sb2 Sb 0.861 0.573 0.396 1
Sb3 Sb 0.861 0.927 0.896 1
Cd4 Cd 0.547 0.878 0.133 1
Cd5 Cd 0.453 0.122 0.867 1
Sb4 Sb 0.639 0.427 0.896 1
Sb5 Sb 0.139 0.427 0.604 1
Cd6 Cd 0.047 0.622 0.867 1
Cd7 Cd 0.953 0.378 0.133 1
Sb6 Sb 0.139 0.073 0.104 1
Cd8 Cd 0.047 0.878 0.367 1
Sb7 Sb 0.639 0.073 0.396 1
Sb8 Sb 0.361 0.927 0.604 1
# - ΔE_f (raw) (eV/atom) = -0.0463

[18]
# Cd3Sb2 (PBE, optimized geometry)
data_Cd3Sb2
_chemical_formula_sum 'Cd3 Sb2'
_cell_length_a 8.518
_cell_length_b 8.518
_cell_length_c 8.518
_cell_angle_alpha 29.91
_cell_angle_beta 29.91
_cell_angle_gamma 29.91
_space_group_name_H-M_alt 'P 1'
_space_group_IT_number 1
loop_
_space_group_symop_operation_xyz
'x,y,z'
loop_
_atom_site_label
_atom_site_type_symbol
_atom_site_fract_x
_atom_site_fract_y
_atom_site_fract_z
_atom_site_occupancy
Cd1 Cd 0.202 0.202 0.202 1
Cd2 Cd 0.000 0.000 0.000 1
Cd3 Cd 0.798 0.798 0.798 1
Sb1 Sb 0.403 0.403 0.403 1
Sb2 Sb 0.597 0.597 0.597 1
# - ΔE_f (raw) (eV/atom) = 0.0855

[19]
# CdSb (PBE, optimized geometry)
data_CdSb
_chemical_formula_sum 'Cd4 Sb4'
_cell_length_a 6.536
_cell_length_b 6.536
_cell_length_c 6.536
_cell_angle_alpha 90.00
_cell_angle_beta 90.00
_cell_angle_gamma 90.00
_space_group_name_H-M_alt 'P 1'
_space_group_IT_number 1
loop_
_space_group_symop_operation_xyz
'x,y,z'
loop_
_atom_site_label
_atom_site_type_symbol
_atom_site_fract_x
_atom_site_fract_y
_atom_site_fract_z
_atom_site_occupancy
Cd1 Cd 0.750 0.250 0.750 1
Sb1 Sb 0.000 0.500 0.500 1
Cd2 Cd 0.750 0.750 0.250 1
Sb2 Sb 0.500 0.000 0.500 1
Sb3 Sb 0.500 0.500 0.000 1
Cd3 Cd 0.250 0.250 0.250 1
Cd4 Cd 0.250 0.750 0.750 1
Sb4 Sb 0.000 0.000 0.000 1
# - ΔE_f (raw) (eV/atom) = 0.1789

[20]
# Cd3Sb (PBE, optimized geometry)
data_Cd3Sb
_chemical_formula_sum 'Cd3 Sb1'
_cell_length_a 5.695
_cell_length_b 5.695
_cell_length_c 5.695
_cell_angle_alpha 132.69
_cell_angle_beta 132.69
_cell_angle_gamma 69.14
_space_group_name_H-M_alt 'P 1'
_space_group_IT_number 1
loop_
_space_group_symop_operation_xyz
'x,y,z'
loop_
_atom_site_label
_atom_site_type_symbol
_atom_site_fract_x
_atom_site_fract_y
_atom_site_fract_z
_atom_site_occupancy
Cd1 Cd 0.500 0.500 0.000 1
Sb1 Sb 0.000 0.000 0.000 1
Cd2 Cd 0.250 0.750 0.500 1
Cd3 Cd 0.750 0.250 0.500 1
# - ΔE_f (raw) (eV/atom) = 0.0730